Record 1
A plane-wave DFT calculation with PBE was carried out for Zr2TcP after structural relaxation.

Unit cell a=7.173 b=7.173 c=5.855 alpha=52.22 beta=52.22 gamma=90.00
Element x y z (fractional)
1 P 0.500 0.500 0.000
2 P 0.250 0.750 0.500
3 Tc 0.000 0.000 0.000
4 Tc 0.750 0.250 0.500
5 Zr 0.618 0.125 0.250
6 Zr 0.132 0.625 0.250
7 Zr 0.375 0.382 0.750
8 Zr 0.875 0.868 0.750

Properties
**E_tot**: -8.3276 eV per atom
**Theoretical density**: 6873 kg/m3
**Magnetization**: 0.0 μB/f.u.
**Fermi-level density of states**: 3.882 states/eV/f.u.
**Space group**: I-42d

---

Record 2
A plane-wave DFT calculation with PBE was carried out for Pu2HfTh after structural relaxation.

Unit cell a=3.351 b=3.351 c=11.008 alpha=81.25 beta=81.25 gamma=60.00
Element x y z (fractional)
1 Hf 0.000 0.000 0.000
2 Th 0.500 0.500 0.500
3 Pu 0.746 0.746 0.761
4 Pu 0.254 0.254 0.239

Properties
**E_tot**: -11.2778 eV per atom
**Theoretical density**: 14160 kg/m3
**Magnetization**: 10.8 μB/f.u.
**Fermi-level density of states**: 16.451 states/eV/f.u.
**Space group**: R-3m